(1)
# Ac5Pb2

Ac5Pb2 after structural relaxation (GGA-PBE, Alexandria via LeMat-Bulk).

POSCAR file:
```
Ac5Pb2
1.0
5.102 0.000 -0.511
0.000 5.104 0.000
-0.385 0.000 21.884
Pb Ac
4 10
direct
0.690 0.750 0.380
0.904 0.750 0.807
0.310 0.250 0.620
0.096 0.250 0.193
0.250 0.750 0.500
0.175 0.250 0.349
0.611 0.750 0.223
0.461 0.750 0.922
0.966 0.250 0.933
0.389 0.250 0.777
0.825 0.750 0.651
0.539 0.250 0.078
0.034 0.750 0.067
0.750 0.250 0.500
```

Values from the calculation:
As for the crystal system: orthorhombic. For the formation energy, the calculation gives -0.295 eV/atom. The calculation puts the size of the total moment at 0.000 Bohr magnetons per cell. For the density of states at the Fermi level, the calculation gives 1.21 states/eV/atom. The volume is 568.8 Å³ per cell.

(2)
# AcPb5

AcPb5 after structural relaxation (GGA-PBE, Alexandria via LeMat-Bulk).

POSCAR file:
```
AcPb5
1.0
-4.413 -0.161 1.872
-1.425 -3.265 -3.639
2.901 -4.486 6.452
Pb Ac
5 1
direct
0.000 0.334 0.669
0.500 0.500 0.000
0.500 0.174 0.348
0.500 0.826 0.652
0.000 0.666 0.331
0.000 0.000 0.000
```

Values from the calculation:
As for the crystal system: orthorhombic. For the formation energy, the calculation gives -0.202 eV/atom. The calculation puts the size of the total moment at 0.000 Bohr magnetons per cell. For the density of states at the Fermi level, the calculation gives 0.61 states/eV/atom. The volume is 195.0 Å³ per cell.

(3)
# Ac3Pb2

Ac3Pb2 after structural relaxation (GGA-PBE, Alexandria via LeMat-Bulk).

POSCAR file:
```
Ac3Pb2
1.0
4.694 0.000 2.061
1.609 6.039 2.711
-0.190 -0.019 6.810
Ac Pb
3 2
direct
0.198 0.302 0.302
0.802 0.698 0.698
0.000 0.000 0.000
0.500 0.289 0.711
0.500 0.711 0.289
```

Values from the calculation:
As for the crystal system: orthorhombic. For the formation energy, the calculation gives -0.445 eV/atom. The calculation puts the size of the total moment at 0.000 Bohr magnetons per cell. For the density of states at the Fermi level, the calculation gives 0.72 states/eV/atom. The volume is 195.6 Å³ per cell.

(4)
# Ac2Pb3

Ac2Pb3 after structural relaxation (GGA-PBE, Alexandria via LeMat-Bulk).

POSCAR file:
```
Ac2Pb3
1.0
-0.529 -3.914 -2.860
7.239 2.043 -4.133
4.516 -4.694 5.588
Ac Pb
4 6
direct
0.500 0.824 0.324
0.500 0.676 0.824
0.500 0.324 0.176
0.500 0.176 0.676
0.000 0.500 0.500
0.000 0.000 0.000
0.000 0.127 0.373
0.000 0.873 0.627
0.000 0.373 0.873
0.000 0.627 0.127
```

Values from the calculation:
As for the crystal system: tetragonal. For the formation energy, the calculation gives -0.507 eV/atom. The calculation puts the size of the total moment at 0.000 Bohr magnetons per cell. For the density of states at the Fermi level, the calculation gives 0.51 states/eV/atom. The volume is 359.2 Å³ per cell.

(5)
# Ac3Pb

Ac3Pb after structural relaxation (GGA-PBE, Alexandria via LeMat-Bulk).

POSCAR file:
```
Ac3Pb
1.0
5.269 0.000 0.000
0.000 5.269 0.000
-2.634 -2.634 5.610
Ac Pb
3 1
direct
0.750 0.250 0.500
0.250 0.750 0.500
0.500 0.500 0.000
0.000 0.000 0.000
```

Values from the calculation:
As for the crystal system: tetragonal. For the formation energy, the calculation gives -0.223 eV/atom. The calculation puts the size of the total moment at 0.000 Bohr magnetons per cell. For the density of states at the Fermi level, the calculation gives 1.20 states/eV/atom. The volume is 155.7 Å³ per cell.

(6)
# Ac4Pb3

Ac4Pb3 after structural relaxation (GGA-PBE, Alexandria via LeMat-Bulk).

POSCAR file:
```
Ac4Pb3
1.0
8.421 0.000 -2.977
-4.210 7.293 -2.977
0.000 0.000 8.931
Ac Pb
8 6
direct
0.500 0.864 0.500
0.136 0.636 0.636
0.636 0.136 0.136
0.864 0.500 0.000
0.364 0.500 0.000
0.000 0.000 0.364
0.000 0.000 0.864
0.500 0.364 0.500
0.375 0.125 0.750
0.875 0.250 0.625
0.625 0.750 0.875
0.750 0.625 0.375
0.250 0.875 0.125
0.125 0.375 0.250
```

Values from the calculation:
As for the crystal system: cubic. For the formation energy, the calculation gives -0.558 eV/atom. The calculation puts the size of the total moment at 0.000 Bohr magnetons per cell. For the density of states at the Fermi level, the calculation gives 0.09 states/eV/atom. The volume is 548.5 Å³ per cell.

(7)
# Ac3Pb

Ac3Pb after structural relaxation (GGA-PBE, Alexandria via LeMat-Bulk).

POSCAR file:
```
Ac3Pb
1.0
-5.297 0.144 0.831
-0.833 -0.096 -5.298
-0.127 -5.358 0.117
Ac Pb
3 1
direct
0.000 0.500 0.583
0.500 0.500 0.083
0.000 0.000 0.083
0.500 0.000 0.584
```

Values from the calculation:
As for the crystal system: cubic. For the formation energy, the calculation gives -0.253 eV/atom. The calculation puts the size of the total moment at 0.000 Bohr magnetons per cell. For the density of states at the Fermi level, the calculation gives 1.48 states/eV/atom. The volume is 154.2 Å³ per cell.

(8)
# Ac3Pb2

Ac3Pb2 after structural relaxation (GGA-PBE, Alexandria via LeMat-Bulk).

POSCAR file:
```
Ac3Pb2
1.0
4.827 0.000 0.000
0.000 12.898 0.000
0.000 0.000 13.259
Pb Ac
8 12
direct
0.250 0.996 0.813
0.250 0.504 0.313
0.750 0.815 0.507
0.750 0.496 0.687
0.250 0.185 0.493
0.750 0.004 0.187
0.250 0.315 0.993
0.750 0.685 0.007
0.750 0.368 0.451
0.750 0.797 0.772
0.250 0.945 0.374
0.750 0.445 0.126
0.750 0.055 0.626
0.250 0.203 0.228
0.250 0.632 0.549
0.750 0.703 0.272
0.250 0.868 0.049
0.250 0.297 0.728
0.250 0.555 0.874
0.750 0.132 0.951
```

Values from the calculation:
As for the crystal system: orthorhombic. For the formation energy, the calculation gives -0.448 eV/atom. The calculation puts the size of the total moment at 3.579 Bohr magnetons per cell. For the density of states at the Fermi level, the calculation gives 0.72 states/eV/atom. The volume is 825.6 Å³ per cell.

(9)
# Ac6Pb5

Ac6Pb5 after structural relaxation (GGA-PBE, Alexandria via LeMat-Bulk).

POSCAR file:
```
Ac6Pb5
1.0
9.789 0.000 0.368
4.894 9.107 0.184
3.546 0.000 4.889
Pb Ac
5 6
direct
0.155 0.689 0.500
0.500 0.000 0.500
0.845 0.311 0.500
0.670 0.660 0.000
0.330 0.340 0.000
0.087 0.337 0.744
0.576 0.337 0.256
0.264 0.000 0.237
0.913 0.663 0.256
0.424 0.663 0.744
0.736 0.000 0.763
```

Values from the calculation:
As for the crystal system: orthorhombic. For the formation energy, the calculation gives -0.428 eV/atom. The calculation puts the size of the total moment at 0.003 Bohr magnetons per cell. For the density of states at the Fermi level, the calculation gives 0.85 states/eV/atom. The volume is 424.0 Å³ per cell.

(10)
# Ac4Pb3

Ac4Pb3 after structural relaxation (GGA-PBE, Alexandria via LeMat-Bulk).

POSCAR file:
```
Ac4Pb3
1.0
4.723 0.000 0.000
0.000 4.723 0.000
-2.362 -2.362 13.252
Pb Ac
3 4
direct
0.686 0.686 0.372
0.314 0.314 0.628
0.000 0.000 0.000
0.564 0.564 0.128
0.816 0.816 0.631
0.436 0.436 0.872
0.184 0.184 0.369
```

Values from the calculation:
As for the crystal system: tetragonal. For the formation energy, the calculation gives -0.346 eV/atom. The calculation puts the size of the total moment at 0.000 Bohr magnetons per cell. For the density of states at the Fermi level, the calculation gives 0.48 states/eV/atom. The volume is 295.6 Å³ per cell.